First-principles (PBE-GGA) data for an optimized crystal structure of Sr2LiRh3O8, as listed in Alexandria.

## Properties
uncorrected formation energy = -1.4793 eV/atom
total magnetization = 0.0 μB per cell
E = -0.4605 Ry/atom

Structure (CIF):
```
data_Sr2LiRh3O8
_chemical_formula_sum 'Sr6 Li3 Rh9 O24'
_cell_length_a 6.3212
_cell_length_b 6.3212
_cell_length_c 17.2578
_cell_angle_alpha 90.00
_cell_angle_beta 90.00
_cell_angle_gamma 120.00
_space_group_name_H-M_alt 'R 3 m'
_space_group_IT_number 160
_space_group_name_Hall 'R 3 -2"'
loop_
_atom_site_label
_atom_site_type_symbol
_atom_site_fract_x
_atom_site_fract_y
_atom_site_fract_z
Sr1 Sr 0.0000 0.0000 0.0000
Sr2 Sr 0.0000 0.0000 0.3695
Li1 Li 0.0000 0.0000 0.5569
Rh1 Rh 0.0021 0.5011 0.5024
O1 O 0.0000 0.0000 0.2283
O2 O 0.0000 0.0000 0.7768
O3 O 0.0326 0.5163 0.7740
O4 O 0.1799 0.3598 0.5621
```